# 1
Entry from Alexandria: a geometry-optimized Ru2Pt4Rh3 structure (PBE).

Cell lengths 11.6545, 3.8776, 6.1916 Å; angles 90.00, 108.24, 90.00 degrees
Last column: nearest neighbours and their distance in Å.
Space group C2/m (No. 12)
Symmetry-distinct sites (fractional):
Ru1 0.1713 0.0000 0.4965  2 Ru 2.66, 5 Pt 2.66-2.80, 5 Rh 2.68-2.79
Pt1 0.0525 0.0000 0.8251  6 Rh 2.72-2.84, 2 Ru 2.74-2.80, 4 Pt 2.76-2.84
Pt2 0.2213 0.5000 0.8254  3 Ru 2.66-2.74, 4 Rh 2.73-2.84, 5 Pt 2.76-2.84
Rh1 0.0000 0.5000 0.5000  2 Rh 2.72, 6 Pt 2.72-2.73, 4 Ru 2.79
Rh2 0.1134 0.5000 0.1778  3 Ru 2.68-2.70, 2 Rh 2.72-2.86, 7 Pt 2.73-2.84

---

# 2
Entry from Alexandria: a geometry-optimized Ru2Pt3Rh3 structure (PBE).

Summary:
Energy above the most stable polymorph in this dataset (eV per atom): 0.300

Cell lengths 6.9199, 6.9199, 8.8272 Å; angles 90.00, 90.00, 120.00 degrees
Last column: nearest neighbours and their distance in Å.
Space group R32 (No. 155, hexagonal axes)
Symmetry-distinct sites (fractional):
Ru1 0.0000 0.0000 0.2460  6 Rh 2.68-2.86, 6 Pt 2.76-2.82
Pt1 0.0000 0.2315 0.5000  2 Rh 2.50, 2 Ru 2.76, 2 Pt 2.77
Rh1 0.0000 0.7738 0.0000  2 Pt 2.50, 2 Ru 2.68, 2 Rh 2.71

---

# 3
Entry from Alexandria: a geometry-optimized Ru2PtRh2 structure (PBE).

Summary:
Energy above the most stable polymorph in this dataset (eV per atom): 0.316

Cell lengths 7.3825, 7.3825, 2.7664 Å; angles 90.00, 90.00, 90.00 degrees
Last column: nearest neighbours and their distance in Å.
Space group P4/mbm (No. 127)
Symmetry-distinct sites (fractional):
Ru1 0.1213 0.3787 0.0000  3 Ru 2.53-2.77, 6 Rh 2.56-2.60
Pt1 0.0000 0.0000 0.0000  2 Pt 2.77, 4 Ru 2.94, 8 Rh 3.06
Rh1 0.1730 0.6730 0.5000  6 Ru 2.56-2.60, 2 Rh 2.77

---

# 4
Entry from Alexandria: a geometry-optimized Ru2PtRh structure (PBE).

Summary:
Energy above the most stable polymorph in this dataset (eV per atom): 0.082

Cell lengths 2.7184, 2.7184, 7.7872 Å; angles 90.00, 90.00, 90.00 degrees
Last column: nearest neighbours and their distance in Å.
Space group P4/mmm (No. 123)
Symmetry-distinct sites (fractional):
Ru1 0.0000 0.0000 0.2443  4 Rh 2.70, 4 Ru 2.72, 4 Pt 2.77
Pt1 0.5000 0.5000 0.5000  4 Pt 2.72, 8 Ru 2.77
Rh1 0.5000 0.5000 0.0000  8 Ru 2.70, 4 Rh 2.72

---

# 5
Entry from Alexandria: a geometry-optimized Ru3PtRh3 structure (PBE).

Cell lengths 7.2547, 7.2547, 4.3870 Å; angles 90.00, 90.00, 120.00 degrees
Last column: nearest neighbours and their distance in Å.
Space group P6_3/m (No. 176)
Symmetry-distinct sites (fractional):
Ru1 0.0974 0.4821 0.2500  3 Pt 2.69-2.75, 4 Ru 2.69-2.70, 5 Rh 2.69-2.81
Pt1 0.3333 0.6667 0.7500  9 Ru 2.69-2.75, 3 Rh 2.76
Rh1 0.0419 0.2364 0.7500  5 Ru 2.69-2.81, 6 Rh 2.71-2.75, 1 Pt 2.76

---

# 6
Entry from Alexandria: a geometry-optimized RuPt3Rh structure (PBE).

Summary:
Energy above the most stable polymorph in this dataset (eV per atom): 0.000

Cell lengths 3.9506, 14.1912, 5.4739 Å; angles 90.00, 90.00, 90.00 degrees
Last column: nearest neighbours and their distance in Å.
Space group Cmcm (No. 63)
Symmetry-distinct sites (fractional):
Ru1 0.0000 0.0020 0.2500  1 Rh 2.66, 2 Ru 2.74, 9 Pt 2.75-2.79
Pt1 0.0000 0.1917 0.7500  4 Rh 2.60-2.74, 1 Ru 2.75, 4 Pt 2.75
Pt2 0.0000 0.4022 0.5010  5 Pt 2.73-2.78, 2 Rh 2.73, 4 Ru 2.76-2.79
Rh1 0.0000 0.1896 0.2500  8 Pt 2.60-2.74, 1 Ru 2.66

---

# 7
Entry from Alexandria: a geometry-optimized RuPt3Rh structure (PBE).

Summary:
Energy above the most stable polymorph in this dataset (eV per atom): 1.491

Cell lengths 4.7215, 4.7215, 4.7215 Å; angles 90.00, 90.00, 90.00 degrees
Last column: nearest neighbours and their distance in Å.
Space group Pm-3m (No. 221)
Symmetry-distinct sites (fractional):
Ru1 0.0000 0.0000 0.0000  6 Pt 2.36
Pt1 0.0000 0.0000 0.5000  2 Ru 2.36
Rh1 0.5000 0.5000 0.5000  12 Pt 3.34

---

# 8
Entry from Alexandria: a geometry-optimized Ru3PtRh2 structure (PBE).

Summary:
Energy above the most stable polymorph in this dataset (eV per atom): 0.000

Cell lengths 11.5378, 3.8395, 8.6368 Å; angles 90.00, 116.46, 90.00 degrees
Last column: nearest neighbours and their distance in Å.
Space group C2/m (No. 12)
Symmetry-distinct sites (fractional):
Ru1 0.0418 0.0000 0.3797  8 Ru 2.65-2.73, 3 Rh 2.70-2.71, 1 Pt 2.75
Ru2 0.1224 0.5000 0.6202  8 Ru 2.66-2.72, 3 Rh 2.70-2.72, 1 Pt 2.73
Ru3 0.2107 0.5000 0.3811  8 Ru 2.66-2.73, 2 Rh 2.73, 2 Pt 2.73
Pt1 0.1273 0.0000 0.1294  7 Rh 2.72-2.79, 4 Ru 2.73-2.75, 1 Pt 2.79
Rh1 0.0407 0.5000 0.8678  4 Ru 2.70-2.73, 4 Rh 2.70-2.83, 4 Pt 2.74-2.79
Rh2 0.2054 0.0000 0.8689  5 Rh 2.70-2.80, 4 Ru 2.70-2.73, 3 Pt 2.72-2.77

---

The calculation returns the following magnetization values, one per record and in order: 0.0; 0.0; 0.0; 0.0; 0.0; 0.0; 0.0; 0.0 Bohr magnetons per cell.
The calculation returns the following formation enthalpy at 0 K values, one per record and in order: -26; 266; 290; 69; 33; 108; 1599; -1 meV/atom.